Record 1
A plane-wave DFT calculation with GGA-PBE was carried out for crystalline SiW2Br at its relaxed geometry.

Computed properties:
As for the density of states at the Fermi level: 2.324 states/eV/f.u. Its energy relative to the elements, uncorrected is 0.854 eV per atom. For the total magnetic moment, the calculation gives 0.00 μB per formula unit.

Cell and atoms, written as CIF:
```
data_SiW2Br
_chemical_formula_sum 'Si2 W4 Br2'
_cell_length_a 2.991
_cell_length_b 4.444
_cell_length_c 9.815
_cell_angle_alpha 90.00
_cell_angle_beta 90.00
_cell_angle_gamma 90.00
_space_group_name_H-M_alt 'I m m 2'
_space_group_IT_number 44
loop_
_space_group_symop_operation_xyz
'x,y,z'
'-x,-y,z'
'-x,y,z'
'x,-y,z'
'x+1/2,y+1/2,z+1/2'
'-x+1/2,-y+1/2,z+1/2'
'-x+1/2,y+1/2,z+1/2'
'x+1/2,-y+1/2,z+1/2'
loop_
_atom_site_label
_atom_site_fract_x
_atom_site_fract_y
_atom_site_fract_z
Si1 0.000 0.000 0.000
W1 0.000 0.000 0.474
W2 0.000 0.500 0.714
Br1 0.000 0.500 0.216
```

***

Record 2
A plane-wave DFT calculation with GGA-PBE was carried out for crystalline Si2WBr at its relaxed geometry.

Computed properties:
As for the density of states at the Fermi level: 1.418 states/eV/f.u. Its energy relative to the elements, uncorrected is 0.408 eV per atom. For the total magnetic moment, the calculation gives 0.00 μB per formula unit.

Cell and atoms, written as CIF:
```
data_Si2WBr
_chemical_formula_sum 'Si4 W2 Br2'
_cell_length_a 3.376
_cell_length_b 4.309
_cell_length_c 11.915
_cell_angle_alpha 90.00
_cell_angle_beta 90.00
_cell_angle_gamma 90.00
_space_group_name_H-M_alt 'C m m m'
_space_group_IT_number 65
_space_group_name_Hall '-C 2 2'
loop_
_atom_site_label
_atom_site_fract_x
_atom_site_fract_y
_atom_site_fract_z
Si1 0.000 0.000 0.170
W1 0.000 0.500 0.000
Br1 0.000 0.500 0.500
```

***

Record 3
A plane-wave DFT calculation with GGA-PBE was carried out for crystalline SiWBr3 at its relaxed geometry.

Computed properties:
As for the density of states at the Fermi level: 4.863 states/eV/f.u. Its energy relative to the elements, uncorrected is 0.864 eV per atom. For the total magnetic moment, the calculation gives 4.34 μB per formula unit.

Cell and atoms, written as CIF:
```
data_SiWBr3
_chemical_formula_sum 'Si1 W1 Br3'
_cell_length_a 5.195
_cell_length_b 5.195
_cell_length_c 5.195
_cell_angle_alpha 90.00
_cell_angle_beta 90.00
_cell_angle_gamma 90.00
_space_group_name_H-M_alt 'P m -3 m'
_space_group_IT_number 221
_space_group_name_Hall '-P 4 2 3'
loop_
_atom_site_label
_atom_site_fract_x
_atom_site_fract_y
_atom_site_fract_z
Si1 0.000 0.000 0.000
W1 0.500 0.500 0.500
Br1 0.000 0.500 0.500
```

***

Record 4
A plane-wave DFT calculation with GGA-PBE was carried out for crystalline Si2WBr at its relaxed geometry.

Computed properties:
As for the density of states at the Fermi level: 3.852 states/eV/f.u. Its energy relative to the elements, uncorrected is 0.481 eV per atom. For the total magnetic moment, the calculation gives 0.00 μB per formula unit.

Cell and atoms, written as CIF:
```
data_Si2WBr
_chemical_formula_sum 'Si6 W3 Br3'
_cell_length_a 3.0397
_cell_length_b 3.0397
_cell_length_c 27.1639
_cell_angle_alpha 90.00
_cell_angle_beta 90.00
_cell_angle_gamma 120.00
_space_group_name_H-M_alt 'R 3 m'
_space_group_IT_number 160
_space_group_name_Hall 'R 3 -2"'
loop_
_atom_site_label
_atom_site_fract_x
_atom_site_fract_y
_atom_site_fract_z
Si1 0.0000 0.0000 0.0000
Si2 0.0000 0.0000 0.2633
W1 0.0000 0.0000 0.5229
Br1 0.0000 0.0000 0.7849
```

***

Record 5
A plane-wave DFT calculation with GGA-PBE was carried out for crystalline SiW2Br at its relaxed geometry.

Computed properties:
As for the density of states at the Fermi level: 4.183 states/eV/f.u. Its energy relative to the elements, uncorrected is 0.694 eV per atom. For the total magnetic moment, the calculation gives 0.00 μB per formula unit.

Cell and atoms, written as CIF:
```
data_SiW2Br
_chemical_formula_sum 'Si3 W6 Br3'
_cell_length_a 2.9420
_cell_length_b 2.9420
_cell_length_c 25.9614
_cell_angle_alpha 90.00
_cell_angle_beta 90.00
_cell_angle_gamma 120.00
_space_group_name_H-M_alt 'R -3 m'
_space_group_IT_number 166
_space_group_name_Hall '-R 3 2"'
loop_
_atom_site_label
_atom_site_fract_x
_atom_site_fract_y
_atom_site_fract_z
Si1 0.0000 0.0000 0.0000
W1 0.0000 0.0000 0.2542
Br1 0.0000 0.0000 0.5000
```

***

Record 6
A plane-wave DFT calculation with GGA-PBE was carried out for crystalline SiW2Br at its relaxed geometry.

Computed properties:
As for the density of states at the Fermi level: 2.868 states/eV/f.u. Its energy relative to the elements, uncorrected is 1.061 eV per atom. For the total magnetic moment, the calculation gives 0.00 μB per formula unit.

Cell and atoms, written as CIF:
```
data_SiW2Br
_chemical_formula_sum 'Si2 W4 Br2'
_cell_length_a 5.493
_cell_length_b 8.810
_cell_length_c 3.263
_cell_angle_alpha 90.00
_cell_angle_beta 121.23
_cell_angle_gamma 90.00
_space_group_name_H-M_alt 'C 1 2/m 1'
_space_group_IT_number 12
loop_
_space_group_symop_operation_xyz
'x,y,z'
'-x,-y,-z'
'-x,y,-z'
'x,-y,z'
'x+1/2,y+1/2,z'
'-x+1/2,-y+1/2,-z'
'-x+1/2,y+1/2,-z'
'x+1/2,-y+1/2,z'
loop_
_atom_site_label
_atom_site_fract_x
_atom_site_fract_y
_atom_site_fract_z
Si1 0.000 0.000 0.000
W1 0.250 0.250 0.500
Br1 0.000 0.500 0.000
```